# 1
This record from Alexandria via LeMat-Bulk describes a geometry-optimized PrDyGa2Pd2 structure. The functional is PBE-GGA.

a b c (Å): 4.5307 4.5307 7.1135
angles (deg): 90.00 90.00 120.00
Last column: nearest neighbours and their distance in Å.
Fractional coordinates of all 6 atoms:
Pr 0.0000 0.0000 0.0000  6 Ga 3.25, 6 Pd 3.27, 2 Dy 3.56
Dy 0.0000 0.0000 0.5000  6 Pd 3.06, 6 Ga 3.08
Ga 0.3333 0.6667 0.2717  3 Pd 2.62
Ga 0.6667 0.3333 0.7283  3 Pd 2.62
Pd 0.3333 0.6667 0.7238  3 Ga 2.62
Pd 0.6667 0.3333 0.2762  3 Ga 2.62

Symmetry: No. 164
Electronic total energy (eV/atom): -5.1349
E_form (eV per atom): -0.8314
M_tot (μB per atom): 0.000

# 2
This record from Alexandria via LeMat-Bulk describes a geometry-optimized SmHoTh2Bi4 structure. The functional is PBE-GGA.

a b c (Å): 7.8606 4.5648 7.9023
angles (deg): 90.00 109.67 90.00
Last column: nearest neighbours and their distance in Å.
Fractional coordinates of all 8 atoms:
Sm 0.0000 0.0000 0.0000  6 Bi 3.20-3.21
Ho 0.0000 0.5000 0.5000  6 Bi 3.17-3.18
Th 0.5000 0.0000 0.5000  6 Bi 3.24
Th 0.5000 0.5000 0.0000  6 Bi 3.26-3.27
Bi 0.2416 0.0000 0.7443  2 Ho 3.17, 1 Sm 3.21, 3 Th 3.24-3.26
Bi 0.2440 0.5000 0.2508  1 Ho 3.18, 2 Sm 3.20, 3 Th 3.24-3.27
Bi 0.7560 0.5000 0.7492  1 Ho 3.18, 2 Sm 3.20, 3 Th 3.24-3.27
Bi 0.7584 0.0000 0.2557  2 Ho 3.17, 1 Sm 3.21, 3 Th 3.24-3.26

Symmetry: No. 10
Electronic total energy (eV/atom): -5.6796
E_form (eV per atom): -0.7221
M_tot (μB per atom): 0.000

Question: Which of these has the lowest electronic total energy?
Answer: SmHoTh2Bi4

Question: Which of these has the lowest E_form?
Answer: PrDyGa2Pd2